No. 1
DFT (PBE) results for a geometry-optimized CuPdSeBr2 structure.

a = 5.1511 Å, b = 5.1511 Å, c = 4.9297 Å
α = 90.00°, β = 90.00°, γ = 90.00°
Last column: nearest neighbours and their distance in Å.
Fractional coordinates of all 5 atoms:
Cu  0.0000  0.0000  0.0000  8 Br 3.56, 4 Se 3.64
Pd  0.5000  0.5000  0.5000  2 Se 2.46, 4 Br 2.58
Se  0.5000  0.5000  0.0000  2 Pd 2.46
Br  0.0000  0.5000  0.5000  2 Pd 2.58
Br  0.5000  0.0000  0.5000  2 Pd 2.58

Results
Crystal system   tetragonal
Distance to the lowest polymorph of the same formula   0.00 eV/f.u.
Uncorrected formation energy   412 meV per atom
Space-group type   No. 123

=====

No. 2
DFT (PBE) results for a geometry-optimized Ca2CdCoAu structure.

a = 5.7181 Å, b = 5.7181 Å, c = 4.7444 Å
α = 90.00°, β = 90.00°, γ = 90.00°
Last column: nearest neighbours and their distance in Å.
Fractional coordinates of all 5 atoms:
Ca  0.0000  0.5000  0.0000  2 Cd 2.86
Ca  0.5000  0.0000  0.0000  2 Cd 2.86
Cd  0.0000  0.0000  0.0000  2 Co 2.37
Co  0.0000  0.0000  0.5000  2 Cd 2.37
Au  0.5000  0.5000  0.5000  8 Ca 3.72, 4 Co 4.04

Results
Crystal system   tetragonal
DFT formation energy   470 meV per atom
Space-group type   No. 123

=====

No. 3
DFT (PBE) results for a geometry-optimized FeTc2Ag structure.

a = 4.3602 Å, b = 4.3602 Å, c = 4.3602 Å
α = 60.00°, β = 60.00°, γ = 60.00°
Last column: nearest neighbours and their distance in Å.
Fractional coordinates of all 4 atoms:
Fe  0.0000  0.0000  0.0000  8 Tc 2.67
Tc  0.2500  0.2500  0.2500  4 Ag 2.67, 4 Fe 2.67
Tc  0.7500  0.7500  0.7500  4 Ag 2.67, 4 Fe 2.67
Ag  0.5000  0.5000  0.5000  8 Tc 2.67

Results
Crystal system   cubic
DFT formation energy   652 meV per atom
Distance to the lowest polymorph of the same formula   1.34 eV/f.u.
Space-group type   No. 225

=====

No. 4
DFT (PBE) results for a geometry-optimized ScAgSb2 structure.

a = 3.4223 Å, b = 3.4223 Å, c = 8.0797 Å
α = 90.00°, β = 90.00°, γ = 90.00°
Last column: nearest neighbours and their distance in Å.
Fractional coordinates of all 4 atoms:
Sc  0.0000  0.0000  0.0000  8 Sb 3.13, 4 Sc 3.42
Ag  0.0000  0.0000  0.5000  8 Sb 3.18, 4 Ag 3.42
Sb  0.5000  0.5000  0.2455  4 Sc 3.13, 4 Ag 3.18, 4 Sb 3.42
Sb  0.5000  0.5000  0.7545  4 Sc 3.13, 4 Ag 3.18, 4 Sb 3.42

Results
Crystal system   tetragonal
Uncorrected formation energy   -193 meV per atom
Space-group type   No. 123

=====

No. 5
DFT (PBE) results for a geometry-optimized LiCl2 structure.

a = 4.1746 Å, b = 5.0118 Å, c = 7.6441 Å
α = 108.21°, β = 95.34°, γ = 90.40°
Last column: nearest neighbours and their distance in Å.
Fractional coordinates of all 6 atoms:
Li  0.2326  0.2178  0.4350  5 Cl 2.41-2.60
Li  0.7674  0.7822  0.5650  5 Cl 2.41-2.60
Cl  0.0615  0.1957  0.0946  1 Cl 2.07
Cl  0.2367  0.7049  0.3963  4 Li 2.41-2.55
Cl  0.7633  0.2951  0.6037  4 Li 2.41-2.55
Cl  0.9385  0.8043  0.9054  1 Cl 2.07

Results
Crystal system   triclinic
Distance to the lowest polymorph of the same formula   0.03 eV/f.u.
Uncorrected formation energy   -1182 meV per atom
Space-group type   No. 2

=====

| no. | energy (eV/atom) |
| --- | --- |
| 1 | -2.81 |
| 2 | -2.59 |
| 3 | -7.36 |
| 4 | -4.55 |
| 5 | -3.05 |